# 1
First-principles (PBE) data for a geometry-optimized RbZrPd2 structure, as listed in Alexandria.

* offset from the most stable computed form: 0 meV/atom
* E: -37.46 eV/cell

Unit cell a=7.8227 b=7.8227 c=6.5818 alpha=53.54 beta=53.54 gamma=90.00
Closest atoms and distances in Å follow each position.
Fractional positions:
Rb1 0.5000 0.5000 0.0000  8 Pd 3.25-3.63, 2 Zr 3.57
Rb2 0.2500 0.7500 0.5000  8 Pd 3.25-3.63, 2 Zr 3.57
Zr1 0.0000 0.0000 0.0000  4 Pd 2.61
Zr2 0.7500 0.2500 0.5000  4 Pd 2.61
Pd1 0.6859 0.1250 0.2500  2 Zr 2.61
Pd2 0.0641 0.6250 0.2500  2 Zr 2.61
Pd3 0.3750 0.3141 0.7500  2 Zr 2.61
Pd4 0.8750 0.9359 0.7500  2 Zr 2.61

---

# 2
First-principles (PBE) data for a geometry-optimized SrSc4Br structure, as listed in Alexandria.

* formation energy without anion corrections: 0.30 eV per atom
* E: -26.87 eV/cell

Unit cell a=6.3999 b=6.3999 c=6.3999 alpha=60.00 beta=60.00 gamma=60.00
Closest atoms and distances in Å follow each position.
Fractional positions:
Sr1 0.7500 0.7500 0.7500  12 Sc 3.75, 4 Br 3.92
Sc1 0.8670 0.3777 0.3777  6 Sc 3.13-3.27
Sc2 0.3777 0.3777 0.8670  6 Sc 3.13-3.27
Sc3 0.3777 0.8670 0.3777  6 Sc 3.13-3.27
Sc4 0.3777 0.3777 0.3777  6 Sc 3.13-3.27
Br1 0.0000 0.0000 0.0000  12 Sc 3.76, 4 Sr 3.92

---

# 3
First-principles (PBE) data for a geometry-optimized Sc2InGeTe structure, as listed in Alexandria.

* formation energy without anion corrections: 0.38 eV per atom
* E: -21.28 eV/cell

Unit cell a=5.3144 b=5.6442 c=5.3144 alpha=90.00 beta=90.00 gamma=90.00
Closest atoms and distances in Å follow each position.
Fractional positions:
Sc1 0.0000 0.0000 0.5000  2 Te 2.66
Sc2 0.5000 0.0000 0.0000  2 Te 2.66
Ge1 0.5000 0.5000 0.5000  4 In 3.76, 8 Sc 3.88
Te1 0.0000 0.0000 0.0000  4 Sc 2.66, 2 In 2.82
In1 0.0000 0.5000 0.0000  2 Te 2.82

---

# 4
First-principles (PBE) data for a geometry-optimized YMgGaPd2 structure, as listed in Alexandria.

* E: -19.68 eV/cell

Unit cell a=4.6362 b=5.5621 c=4.6362 alpha=90.00 beta=90.00 gamma=90.00
Closest atoms and distances in Å follow each position.
Fractional positions:
Y1 0.0000 0.5000 0.0000  2 Mg 2.78
Mg1 0.0000 0.0000 0.0000  4 Pd 2.32
Ga1 0.5000 0.5000 0.5000  4 Y 3.28, 8 Pd 3.62
Pd1 0.0000 0.0000 0.5000  2 Mg 2.32
Pd2 0.5000 0.0000 0.0000  2 Mg 2.32

---

# 5
First-principles (PBE) data for a geometry-optimized Ca2CdGa structure, as listed in Alexandria.

* E: -6.74 eV/cell

Unit cell a=7.1965 b=7.1965 c=7.1965 alpha=58.62 beta=151.51 gamma=129.92
Closest atoms and distances in Å follow each position.
Fractional positions:
Ca1 0.0000 0.2407 0.2407  1 Ga 3.02, 1 Cd 3.25
Ca2 0.0000 0.7593 0.7593  1 Ga 3.02, 1 Cd 3.25
Cd1 0.0000 0.5000 0.5000  2 Ca 3.25, 4 Ga 3.52, 2 Cd 3.54
Ga1 0.0000 0.0000 0.0000  2 Ca 3.02

---

# 6
First-principles (PBE) data for a geometry-optimized Dy2PaOsC4 structure, as listed in Alexandria.

* E: -134.08 eV/cell

Unit cell a=3.4809 b=6.1322 c=12.0382 alpha=90.00 beta=90.00 gamma=106.49
Closest atoms and distances in Å follow each position.
Fractional positions:
Dy1 0.3679 0.7358 0.5414  6 C 2.39-2.65
Dy2 0.6321 0.2642 0.0414  6 C 2.39-2.65
Dy3 0.6321 0.2642 0.4586  6 C 2.39-2.65
Dy4 0.3679 0.7358 0.9586  6 C 2.39-2.65
Pa1 0.0966 0.1931 0.7500  6 C 2.57-2.70
Pa2 0.9034 0.8069 0.2500  6 C 2.57-2.70
Os1 0.8411 0.6823 0.7500  4 C 1.92-2.07
Os2 0.1589 0.3177 0.2500  4 C 1.92-2.07
C1 0.2724 0.5447 0.1359  1 Os 1.92
C2 0.7276 0.4553 0.6359  1 Os 1.92
C3 0.7276 0.4553 0.8641  1 Os 1.92
C4 0.2724 0.5447 0.3641  1 Os 1.92
C5 0.0000 0.0000 0.5000  4 Dy 2.39
C6 0.0000 0.0000 0.0000  4 Dy 2.39
C7 0.4360 0.8720 0.7500  2 Os 2.07
C8 0.5640 0.1280 0.2500  2 Os 2.07

---

# 7
First-principles (PBE) data for a geometry-optimized AcTl2Sb2O6 structure, as listed in Alexandria.

* formation energy without anion corrections: -1.56 eV per atom
* E: -63.94 eV/cell

Unit cell a=6.5900 b=6.1634 c=8.1974 alpha=113.42 beta=90.00 gamma=122.32
Closest atoms and distances in Å follow each position.
Fractional positions:
Ac1 0.5000 0.0000 0.5000  6 O 2.51-2.54
Tl1 0.7182 0.4364 0.2119  3 O 2.57-2.59
Tl2 0.2818 0.5636 0.7881  3 O 2.57-2.59
Sb1 0.9481 0.8962 0.7668  3 O 1.95
Sb2 0.0519 0.1038 0.2332  3 O 1.95
O1 0.7584 0.5167 0.5462  1 Sb 1.95
O2 0.1618 0.8834 0.2681  1 Sb 1.95
O3 0.2784 0.1166 0.7319  1 Sb 1.95
O4 0.8382 0.1166 0.7319  1 Sb 1.95
O5 0.7216 0.8834 0.2681  1 Sb 1.95
O6 0.2416 0.4833 0.4538  1 Sb 1.95

---

# 8
First-principles (PBE) data for a geometry-optimized Sm2DyHo5Tm structure, as listed in Alexandria.

* E: -77.65 eV/cell

Unit cell a=8.5807 b=8.5807 c=9.8682 alpha=115.77 beta=115.77 gamma=90.00
Closest atoms and distances in Å follow each position.
Fractional positions:
Sm1 0.1173 0.3827 0.0000  1 Sm 2.85, 2 Ho 3.00
Sm2 0.6173 0.1173 0.0000  1 Sm 2.85, 2 Ho 3.00
Sm3 0.3827 0.8827 0.0000  1 Sm 2.85, 2 Ho 3.00
Sm4 0.8827 0.6173 0.0000  1 Sm 2.85, 2 Ho 3.00
Dy1 0.2500 0.2500 0.5000  10 Ho 3.52-3.89
Dy2 0.7500 0.7500 0.5000  10 Ho 3.52-3.89
Ho1 0.9278 0.4278 0.2794  1 Sm 3.00, 1 Tm 3.09
Ho2 0.6485 0.1485 0.7206  1 Sm 3.00, 1 Tm 3.09
Ho3 0.0722 0.5722 0.7206  1 Sm 3.00, 1 Tm 3.09
Ho4 0.1485 0.0722 0.7206  1 Sm 3.00, 1 Tm 3.09
Ho5 0.5722 0.6485 0.7206  1 Sm 3.00, 1 Tm 3.09
Ho6 0.8515 0.9278 0.2794  1 Sm 3.00, 1 Tm 3.09
Ho7 0.4278 0.3515 0.2794  1 Sm 3.00, 1 Tm 3.09
Ho8 0.3515 0.8515 0.2794  1 Sm 3.00, 1 Tm 3.09
Ho9 0.5000 0.5000 0.0000  4 Sm 3.43, 8 Ho 3.76
Ho10 0.0000 0.0000 0.0000  4 Sm 3.43, 8 Ho 3.76
Tm1 0.2500 0.7500 0.5000  4 Ho 3.09
Tm2 0.7500 0.2500 0.5000  4 Ho 3.09

---

Computed magnetization, in the same sequence as the records: 0.00, 0.25, 0.00, 0.00, 0.00, 0.00, 0.00, 0.00 μB per atom.